Record 1
Density functional theory data (PBE-GGA) for Li2DyZn2 after structural relaxation.

Geometry as POSCAR:
```
Li2DyZn2
1.0
4.452 0.000 0.000
0.000 3.516 0.000
-2.226 -1.758 12.670
Zn Li Dy
4 4 2
Direct
0.623 0.873 0.246 Zn
0.725 0.975 0.451 Zn
0.275 0.025 0.549 Zn
0.377 0.127 0.754 Zn
0.545 0.295 0.090 Li
0.055 0.805 0.110 Li
0.945 0.195 0.890 Li
0.455 0.705 0.910 Li
0.826 0.576 0.653 Dy
0.174 0.424 0.347 Dy
```

Results
Formation enthalpy at 0 K: -0.19 eV/atom

---

Record 2
Density functional theory data (PBE-GGA) for ScAl2Pb after structural relaxation.

Geometry as POSCAR:
```
ScAl2Pb
1.0
4.995 0.000 0.000
2.497 4.325 0.000
2.497 1.442 4.078
Al Pb Sc
2 1 1
Direct
0.000 0.000 0.000 Al
0.750 0.750 0.750 Al
0.500 0.500 0.500 Pb
0.250 0.250 0.250 Sc
```

Results
Formation enthalpy at 0 K: 0.10 eV/atom

---

Record 3
Density functional theory data (PBE-GGA) for PIrCl2 after structural relaxation.

Geometry as POSCAR:
```
PIrCl2
1.0
-1.769 -6.740 -4.663
-0.501 -8.182 -1.762
-3.837 -7.207 -1.905
Cl Ir P
2 1 1
Direct
0.028 0.028 0.028 Cl
0.217 0.217 0.217 Cl
0.483 0.483 0.483 Ir
0.773 0.773 0.773 P
```

---

Record 4
Density functional theory data (PBE-GGA) for Ho3Pu2UN6 after structural relaxation.

Geometry as POSCAR:
```
Ho3Pu2UN6
1.0
5.996 0.000 0.000
-2.997 5.194 0.000
-1.001 -1.732 5.635
Ho N Pu U
3 6 2 1
Direct
0.500 0.500 0.500 Ho
0.832 0.168 0.500 Ho
0.168 0.832 0.500 Ho
0.081 0.401 0.243 N
0.761 0.761 0.240 N
0.401 0.081 0.243 N
0.239 0.239 0.760 N
0.919 0.599 0.757 N
0.599 0.919 0.757 N
0.334 0.666 0.000 Pu
0.666 0.334 0.000 Pu
0.000 0.000 0.000 U
```

---

Record 5
Density functional theory data (PBE-GGA) for Ir6RuRh3 after structural relaxation.

Geometry as POSCAR:
```
Ir6RuRh3
1.0
4.727 0.000 0.000
-2.363 4.093 0.000
0.000 0.000 8.256
Ir Rh Ru
6 3 1
Direct
0.642 0.000 0.231 Ir
0.000 0.642 0.231 Ir
0.642 0.642 0.769 Ir
0.358 0.000 0.769 Ir
0.358 0.358 0.231 Ir
0.000 0.358 0.769 Ir
0.000 0.000 0.500 Rh
0.667 0.333 0.500 Rh
0.333 0.667 0.500 Rh
0.000 0.000 0.000 Ru
```

Results
Formation enthalpy at 0 K: 0.41 eV/atom

---

Record 6
Density functional theory data (PBE-GGA) for CoTc2Br after structural relaxation.

Geometry as POSCAR:
```
CoTc2Br
1.0
4.397 0.012 0.000
-0.012 4.397 0.000
0.000 0.000 2.914
Tc Br Co
2 1 1
Direct
0.500 0.500 0.000 Tc
0.000 0.000 0.000 Tc
0.500 0.000 0.500 Br
0.000 0.500 0.500 Co
```

---

Record 7
Density functional theory data (PBE-GGA) for Nb3Ir3Rh2 after structural relaxation.

Geometry as POSCAR:
```
Nb3Ir3Rh2
1.0
3.912 0.000 0.000
0.000 3.948 0.000
0.000 0.000 8.099
Nb Ir Rh
3 3 2
Direct
0.500 0.500 0.737 Nb
0.500 0.500 0.263 Nb
0.500 0.000 0.000 Nb
0.000 0.500 0.500 Ir
0.500 0.000 0.500 Ir
0.000 0.500 0.000 Ir
0.000 0.000 0.744 Rh
0.000 0.000 0.256 Rh
```

Results
Formation enthalpy at 0 K: -0.51 eV/atom

---

Record 8
Density functional theory data (PBE-GGA) for ScAl2W after structural relaxation.

Geometry as POSCAR:
```
ScAl2W
1.0
-0.411 2.760 -0.680
-2.602 -0.919 0.795
1.708 2.282 8.223
Sc W Al
1 1 2
Direct
0.000 0.000 0.507 Sc
0.500 0.500 0.766 W
0.500 0.500 0.234 Al
0.000 0.000 0.993 Al
```

Results
Formation enthalpy at 0 K: 0.02 eV/atom

---

Q: Which VASP energy values were calculated for the entries above? A: -2.384; -4.282; -4.750; -10.150; -8.039; -6.543; -9.444; -6.676, in eV per atom.
Q: Which calculated volume values were calculated for the entries above? A: 19.84; 22.03; 21.33; 14.63; 15.97; 14.09; 15.64; 17.41, in Å³ per atom.